VASP calculation (PBE-GGA) on a relaxed Sm3GaTe2 crystal.

Cell and atoms, written as POSCAR:
```
Sm3GaTe2
1.0
-2.151 3.105 6.736
2.151 -3.105 6.736
2.151 3.105 -6.736
Sm Ga Te
3 1 2
direct
0.000 0.000 0.000 Sm
0.345 0.345 0.000 Sm
0.655 0.655 0.000 Sm
0.500 0.000 0.500 Ga
0.172 0.672 0.500 Te
0.828 0.328 0.500 Te
```

Properties
* DFT total energy: -5.069 eV/atom
* crystal system: orthorhombic
* energy relative to the elements, uncorrected: -1.158 eV per atom
* size of the total moment: 0.000 μB/cell